BaGaHg4: relaxed, GGA-PBE.

Values from the calculation:
Energy of formation = -0.202 eV/atom
V = 172.01 Å³ per cell
Final energy = -7.367 eV per cell
Polymorph energy (0 for the lowest one) = 80 meV/atom
DOS(E_F) = 0.339 states/eV/atom

Unit cell a=6.2425 b=6.2425 c=6.2425 alpha=60.00 beta=60.00 gamma=60.00
Closest atoms and distances in Å follow each position.
Sites, in units of the cell vectors:
Hg1 0.6243 0.1271 0.6243  6 Hg 3.10-3.14
Ba1 0.0000 0.0000 0.0000  12 Hg 3.66, 4 Ga 3.82
Hg2 0.6243 0.6243 0.1271  6 Hg 3.10-3.14
Hg3 0.1271 0.6243 0.6243  6 Hg 3.10-3.14
Ga1 0.2500 0.2500 0.2500  12 Hg 3.66, 4 Ba 3.82
Hg4 0.6243 0.6243 0.6243  6 Hg 3.10-3.14